Y2SiW: relaxed, PBE.

Geometry as POSCAR:
```
Y2SiW
1.0
-2.1312 2.1601 -0.7311
-3.9560 -4.2891 -1.1408
-3.8678 -2.5258 3.8117
W Y Si
1 2 1
Direct
0.0000 0.0000 0.5000
0.5000 0.5000 0.0000
0.0000 0.0000 0.0000
0.5000 0.5000 0.5000
```

Calculated values
- D(E_F) (states/eV/cell) = 4.38
- calculated density (Mg/m³) = 7.4
- magnetic moment (μB/atom) = 0.000
- formation energy without anion corrections (kcal/mol of atoms) = 9.997